! Zr2OsW | the Alexandria database | PBE-GGA | relaxed; values from VASP
&SYSTEM
  ibrav = 0, nat = 4, ntyp = 3
/
ATOMIC_SPECIES
Os 190.23 Os.upf
W 183.84 W.upf
Zr 91.22 Zr.upf
CELL_PARAMETERS angstrom
-7.8929 1.1730 5.1966
-8.9828 -0.7484 3.0705
-7.5262 -1.8524 5.5321
ATOMIC_POSITIONS crystal
Os 0.4936 0.4936 0.4936
W 0.7579 0.7579 0.7579
Zr 0.0054 0.0054 0.0054
Zr 0.2432 0.2432 0.2432
! **Symmetry**: R3m (160)
! **Formation enthalpy at 0 K**: 0.26 eV per atom
! **Calculated volume**: 19.04 A^3/atom
! **Magnetization**: 0.0000 μB per atom
! **Raw total energy**: -40.3 eV for the cell shown